# 1
Density functional theory data (GGA-PBE) for a geometry-optimized Li3HoGe2 structure.

Cell and atoms, written as POSCAR:
```
Li3HoGe2
1.0
7.226 -2.122 0.000
7.226 2.122 0.000
-3.563 0.000 7.134
Li Ho Ge
6 2 4
Cartesian
-0.701 0.000 2.653 Li
2.566 0.000 3.727 Li
4.697 0.000 2.184 Li
6.192 0.000 4.950 Li
8.323 0.000 3.407 Li
11.591 0.000 4.481 Li
1.952 0.000 0.376 Ho
8.937 0.000 6.757 Ho
0.291 0.000 5.149 Ge
3.863 0.000 5.944 Ge
7.027 0.000 1.190 Ge
10.598 0.000 1.985 Ge
```

Properties
As for the mass density: 5.03 g/cm³. As for the magnetic moment: 0.00 μB/f.u. The formation energy comes out at -0.488 eV/atom. Its density of states at the Fermi level is 4.08 states/eV per cell.



# 2
Density functional theory data (GGA-PBE) for a geometry-optimized AsIrCl2 structure.

Cell and atoms, written as POSCAR:
```
AsIrCl2
1.0
4.206 0.000 0.000
0.000 4.206 0.000
0.000 0.000 4.016
As Ir Cl
1 1 2
Cartesian
0.000 0.000 0.000 As
2.103 2.103 0.000 Ir
0.000 2.103 2.008 Cl
2.103 0.000 2.008 Cl
```

Properties
The formation energy without anion corrections comes out at 1.01 eV/atom. As for the mass density: 7.90 g/cm³. As for the magnetic moment: 0.00 μB/f.u. As for the relative energy among the computed polymorphs: 1485 meV/atom. Its density of states at the Fermi level is 3.80 states/eV per cell.



# 3
Density functional theory data (GGA-PBE) for a geometry-optimized Nb2VGa structure.

Cell and atoms, written as POSCAR:
```
Nb2VGa
1.0
3.064 0.000 0.000
-1.532 2.654 0.000
0.000 0.000 25.389
Nb V Ga
6 3 3
Cartesian
0.000 0.000 0.000 Nb
0.000 0.000 3.976 Nb
0.000 1.769 16.926 Nb
0.000 1.769 20.901 Nb
1.532 0.885 8.463 Nb
1.532 0.885 12.438 Nb
0.000 0.000 10.439 V
0.000 1.769 1.976 V
1.532 0.885 18.901 V
0.000 0.000 14.682 Ga
0.000 1.769 6.219 Ga
1.532 0.885 23.145 Ga
```

Properties
As for the mass density: 7.40 g/cm³. As for the magnetic moment: 0.00 μB/f.u. The formation energy comes out at 0.148 eV/atom. Its density of states at the Fermi level is 14.36 states/eV per cell.



# 4
Density functional theory data (GGA-PBE) for a geometry-optimized Pr2P4IrPt3 structure.

Cell and atoms, written as POSCAR:
```
Pr2P4IrPt3
1.0
4.295 0.000 0.000
0.000 4.295 0.000
0.000 0.000 9.630
Pr P Ir Pt
2 4 1 3
Cartesian
0.000 2.147 2.368 Pr
2.147 0.000 7.262 Pr
0.000 0.000 0.000 P
0.000 2.147 6.073 P
2.147 0.000 3.557 P
2.147 2.147 0.000 P
0.000 0.000 4.815 Ir
0.000 2.147 8.501 Pt
2.147 0.000 1.129 Pt
2.147 2.147 4.815 Pt
```

Properties
As for the mass density: 11.06 g/cm³. As for the magnetic moment: 0.00 μB/f.u. The formation energy comes out at -0.950 eV/atom. Its density of states at the Fermi level is 4.19 states/eV per cell.



# 5
Density functional theory data (GGA-PBE) for a geometry-optimized CePmZrN3 structure.

Cell and atoms, written as POSCAR:
```
CePmZrN3
1.0
6.136 0.000 0.000
0.000 3.327 0.000
-0.942 0.000 9.627
Ce Pm Zr N
2 2 2 6
Cartesian
0.807 0.832 3.840 Ce
4.387 2.495 5.786 Ce
1.125 0.832 7.363 Pm
4.069 2.495 2.264 Pm
1.051 2.495 0.873 Zr
4.143 0.832 8.753 Zr
-0.416 2.495 8.409 N
0.760 2.495 5.435 N
2.301 0.832 1.629 N
2.893 2.495 7.998 N
4.434 0.832 4.192 N
5.611 0.832 1.218 N
```

Properties
The formation energy without anion corrections comes out at -1.31 eV/atom. As for the mass density: 7.07 g/cm³. As for the magnetic moment: 1.12 μB/f.u. Its density of states at the Fermi level is 8.88 states/eV per cell.



# 6
Density functional theory data (GGA-PBE) for a geometry-optimized Tl2CdCl structure.

Cell and atoms, written as POSCAR:
```
Tl2CdCl
1.0
8.056 0.000 0.000
0.000 7.866 0.000
-0.045 0.000 3.593
Tl Cd Cl
4 2 2
Cartesian
2.014 1.967 0.000 Tl
2.014 5.900 0.000 Tl
6.042 1.967 0.000 Tl
6.042 5.900 0.000 Tl
-0.022 0.000 1.797 Cd
4.006 3.933 1.797 Cd
-0.022 3.933 1.797 Cl
4.006 0.000 1.797 Cl
```

Properties
The formation energy without anion corrections comes out at -0.35 eV/atom. As for the mass density: 8.12 g/cm³. As for the magnetic moment: 0.00 μB/f.u. As for the relative energy among the computed polymorphs: 35 meV/atom. Its density of states at the Fermi level is 2.64 states/eV per cell.



# 7
Density functional theory data (GGA-PBE) for a geometry-optimized BaTl2HgSb2 structure.

Cell and atoms, written as POSCAR:
```
BaTl2HgSb2
1.0
4.959 0.000 0.000
0.000 9.977 0.000
0.000 0.000 8.284
Ba Tl Hg Sb
2 4 2 4
Cartesian
0.000 0.539 0.000 Ba
0.000 9.438 4.142 Ba
0.000 3.450 2.929 Tl
0.000 6.527 7.071 Tl
2.480 4.052 0.184 Tl
2.480 5.925 4.326 Tl
2.480 1.722 5.559 Hg
2.480 8.254 1.417 Hg
0.000 3.274 6.111 Sb
0.000 6.703 1.969 Sb
2.480 1.291 2.351 Sb
2.480 8.686 6.493 Sb
```

Properties
The formation energy without anion corrections comes out at -0.35 eV/atom. As for the mass density: 8.02 g/cm³. As for the magnetic moment: 0.00 μB/f.u. Its density of states at the Fermi level is 2.64 states/eV per cell.



# 8
Density functional theory data (GGA-PBE) for a geometry-optimized K3Y3NpTe8 structure.

Cell and atoms, written as POSCAR:
```
K3Y3NpTe8
1.0
4.454 2.572 8.381
-4.454 2.572 8.381
0.000 -5.143 8.381
K Y Np Te
3 3 1 8
Cartesian
-2.227 -1.286 8.381 K
-2.227 1.286 16.762 K
0.000 2.572 8.381 K
-4.454 0.000 12.571 Y
-2.227 1.286 4.190 Y
2.227 1.286 4.190 Y
0.000 0.000 12.571 Np
0.000 0.000 5.939 Te
-2.221 -1.282 14.295 Te
0.000 -2.564 10.848 Te
-2.221 1.282 10.848 Te
2.221 -1.282 14.295 Te
0.000 2.564 14.295 Te
2.221 1.282 10.848 Te
0.000 0.000 19.204 Te
```

Properties
The formation energy without anion corrections comes out at -1.24 eV/atom. As for the mass density: 4.73 g/cm³. As for the magnetic moment: 2.99 μB/f.u. Its density of states at the Fermi level is 3.62 states/eV per cell.